[1]
A plane-wave DFT calculation with PBE was carried out for a relaxed structure of NdNbCo.

The structure belongs to space group F-43m (No. 216); the cell edges are 6.3344, 6.3344 and 6.3344 Å and the angles 90.00°, 90.00° and 90.00°. Symmetry generates all atoms from Nd at (0.0000, 0.0000, 0.0000), Nb at (0.2500, 0.2500, 0.7500) and Co at (0.0000, 0.0000, 0.5000).

For the formation energy, the calculation gives 893 meV per atom. Its magnetization is 0.068 μB per cell.

***

[2]
A plane-wave DFT calculation with PBE was carried out for a relaxed structure of NbCoNi2.

The structure belongs to space group F-43m (No. 216); the cell edges are 5.8278, 5.8278 and 5.8278 Å and the angles 90.00°, 90.00° and 90.00°. Symmetry generates all atoms from Nb at (0.0000, 0.0000, 0.0000), Co at (0.2500, 0.2500, 0.2500), Ni at (0.0000, 0.0000, 0.5000) and Ni at (0.2500, 0.2500, 0.7500).

For the formation energy, the calculation gives -90 meV per atom. Its magnetization is 0.264 μB per cell.

***

[3]
A plane-wave DFT calculation with PBE was carried out for a relaxed structure of NbCoNi2.

The structure belongs to space group F-43m (No. 216); the cell edges are 5.8294, 5.8294 and 5.8294 Å and the angles 90.00°, 90.00° and 90.00°. Symmetry generates all atoms from Nb at (0.0000, 0.0000, 0.0000), Co at (0.2500, 0.2500, 0.2500), Ni at (0.0000, 0.0000, 0.5000) and Ni at (0.2500, 0.2500, 0.7500).

For the formation energy, the calculation gives -90 meV per atom. Its magnetization is 0.071 μB per cell.

***

[4]
A plane-wave DFT calculation with PBE was carried out for a relaxed structure of NbCoNi.

The structure belongs to space group F-43m (No. 216); the cell edges are 5.6226, 5.6226 and 5.6226 Å and the angles 90.00°, 90.00° and 90.00°. Symmetry generates all atoms from Nb at (0.0000, 0.0000, 0.0000), Co at (0.2500, 0.2500, 0.2500) and Ni at (0.0000, 0.0000, 0.5000).

For the formation energy, the calculation gives 276 meV per atom. Its magnetization is 0.000 μB per cell.